(1)
Below is a geometry-optimized Sm2HoHf structure, with properties calculated at the GGA-PBE level.

Cell lengths 4.023, 4.023, 7.291 Å; angles 90.00, 90.00, 90.00 degrees
Space group P4/mmm (No. 123)
Inequivalent atoms, fractional coordinates:
Sm  0.000  0.000  0.224 (multiplicity 2)
Ho  0.500  0.500  0.500 (multiplicity 1)
Hf  0.500  0.500  0.000 (multiplicity 1)

Values from the calculation:
- energy above the most stable polymorph in this dataset (meV per atom) = 70
- E (eV per atom) = -5.776
- calculated density (g/cm3) = 9.07
- formation energy (kJ/mol of atoms) = 21

(2)
Below is a geometry-optimized YHo2In structure, with properties calculated at the GGA-PBE level.

Cell lengths 5.537, 6.894, 11.895 Å; angles 90.00, 90.00, 90.00 degrees
Space group Amm2 (No. 38)
Inequivalent atoms, fractional coordinates:
Y  0.000  0.244  0.000 (multiplicity 4)
Ho  0.000  0.000  0.757 (multiplicity 2)
Ho  0.500  0.000  0.415 (multiplicity 2)
Ho  0.500  0.244  0.173 (multiplicity 4)
In  0.000  0.000  0.253 (multiplicity 2)
In  0.500  0.000  0.919 (multiplicity 2)

Values from the calculation:
- energy above the most stable polymorph in this dataset (meV per atom) = 10
- E (eV per atom) = -4.846
- calculated density (g/cm3) = 7.81
- formation energy (kJ/mol of atoms) = -25

(3)
Below is a geometry-optimized TcP2Pb structure, with properties calculated at the GGA-PBE level.

Cell lengths 4.130, 4.130, 8.254 Å; angles 90.00, 90.00, 90.00 degrees
Space group I-4m2 (No. 119)
Inequivalent atoms, fractional coordinates:
Tc  0.000  0.000  0.000 (multiplicity 2)
P  0.000  0.000  0.500 (multiplicity 2)
P  0.000  0.500  0.750 (multiplicity 2)
Pb  0.000  0.500  0.250 (multiplicity 2)

Values from the calculation:
- E (eV per atom) = -5.413
- calculated density (g/cm3) = 8.66
- formation energy (kJ/mol of atoms) = 78

(4)
Below is a geometry-optimized NiBiSe structure, with properties calculated at the GGA-PBE level.

Cell lengths 3.902, 5.207, 6.246 Å; angles 90.00, 90.00, 90.00 degrees
Space group Pmn2_1 (No. 31)
Inequivalent atoms, fractional coordinates:
Ni  0.000  0.208  0.000 (multiplicity 2)
Bi  0.000  0.475  0.634 (multiplicity 2)
Se  0.000  0.032  0.360 (multiplicity 2)

Values from the calculation:
- E (eV per atom) = -4.613
- calculated density (g/cm3) = 9.07
- ΔE_f (raw) (meV/atom) = -231

(5)
Below is a geometry-optimized Ba2CaTl6Rh structure, with properties calculated at the GGA-PBE level.

Cell lengths 7.274, 7.399, 7.946 Å; angles 93.60, 116.04, 114.44 degrees
Space group P-1 (No. 2)
Inequivalent atoms, fractional coordinates:
Ba  0.167  0.340  0.194 (multiplicity 2)
Ca  0.500  0.000  0.500 (multiplicity 1)
Tl  0.055  0.166  0.692 (multiplicity 2)
Tl  0.285  0.632  0.659 (multiplicity 2)
Tl  0.449  0.834  0.105 (multiplicity 2)
Rh  0.500  0.500  0.000 (multiplicity 1)

Values from the calculation:
- E (eV per atom) = -2.945
- calculated density (g/cm3) = 8.18
- formation energy (kJ/mol of atoms) = -20

(6)
Below is a geometry-optimized SrTlHg2 structure, with properties calculated at the GGA-PBE level.

Cell lengths 11.111, 4.461, 5.419 Å; angles 90.00, 118.11, 90.00 degrees
Space group Cm (No. 8)
Inequivalent atoms, fractional coordinates:
Sr  0.000  0.000  0.000 (multiplicity 2)
Tl  0.272  0.500  0.275 (multiplicity 2)
Hg  0.012  0.500  0.512 (multiplicity 2)
Hg  0.238  0.000  0.740 (multiplicity 2)

Values from the calculation:
- energy above the most stable polymorph in this dataset (meV per atom) = 52
- E (eV per atom) = -1.486
- calculated density (g/cm3) = 9.72
- formation energy (kJ/mol of atoms) = -31

(7)
Below is a geometry-optimized Sm3Sc4Ga4 structure, with properties calculated at the GGA-PBE level.

Cell lengths 4.658, 7.284, 15.486 Å; angles 90.00, 90.00, 90.00 degrees
Space group Immm (No. 71)
Inequivalent atoms, fractional coordinates:
Sm  0.000  0.000  0.000 (multiplicity 2)
Sm  0.000  0.500  0.113 (multiplicity 4)
Sc  0.000  0.292  0.326 (multiplicity 8)
Ga  0.000  0.000  0.205 (multiplicity 4)
Ga  0.000  0.187  0.500 (multiplicity 4)

Values from the calculation:
- E (eV per atom) = -5.141
- calculated density (g/cm3) = 5.75
- formation energy (kJ/mol of atoms) = -43

(8)
Below is a geometry-optimized MnTl2Ir structure, with properties calculated at the GGA-PBE level.

Cell lengths 3.141, 3.141, 8.678 Å; angles 90.00, 90.00, 90.00 degrees
Space group P4mm (No. 99)
Inequivalent atoms, fractional coordinates:
Mn  0.000  0.000  0.000 (multiplicity 1)
Tl  0.000  0.000  0.603 (multiplicity 1)
Tl  0.500  0.500  0.258 (multiplicity 1)
Ir  0.500  0.500  0.854 (multiplicity 1)

Values from the calculation:
- energy above the most stable polymorph in this dataset (meV per atom) = 0
- E (eV per atom) = -5.411
- calculated density (g/cm3) = 12.73
- formation energy (kJ/mol of atoms) = 27